Record 1
A plane-wave DFT calculation with PBE was carried out for an optimized crystal structure of PuCu7Ni5.

Results
calculated formation energy	-0.4	eV per formula unit
crystal system	orthorhombic
space-group type	Imm2 (44)

a = 6.365 Å, b = 6.365 Å, c = 6.365 Å
α = 135.61°, β = 98.14°, γ = 98.27°
Positions (direct):
Pu1 0.000 0.000 0.000
Cu1 0.229 0.506 0.723
Cu2 0.229 0.729 0.500
Cu3 0.356 0.356 0.000
Cu4 0.362 0.008 0.354
Cu5 0.652 0.652 0.000
Cu6 0.654 0.008 0.646
Cu7 0.783 0.506 0.277
Ni1 0.005 0.006 0.498
Ni2 0.005 0.507 0.998
Ni3 0.508 0.006 0.002
Ni4 0.508 0.507 0.502
Ni5 0.787 0.287 0.500


Record 2
A plane-wave DFT calculation with PBE was carried out for an optimized crystal structure of Ce6PmSe8.

Results
crystal system	cubic
raw formation energy	-1836	meV per atom
space-group type	Fm-3m (225)

a = 8.394 Å, b = 8.394 Å, c = 8.394 Å
α = 60.00°, β = 60.00°, γ = 60.00°
Positions (direct):
Ce1 0.000 0.000 0.500
Ce2 0.000 0.500 0.000
Ce3 0.000 0.500 0.500
Ce4 0.500 0.000 0.000
Ce5 0.500 0.000 0.500
Ce6 0.500 0.500 0.000
Pm1 0.000 0.000 0.000
Se1 0.250 0.250 0.250
Se2 0.251 0.251 0.749
Se3 0.251 0.749 0.251
Se4 0.251 0.749 0.749
Se5 0.749 0.251 0.251
Se6 0.749 0.251 0.749
Se7 0.749 0.749 0.251
Se8 0.750 0.750 0.750


Record 3
A plane-wave DFT calculation with PBE was carried out for an optimized crystal structure of Sc4InGa2Ag.

Results
calculated formation energy	-3.7	eV per formula unit
crystal system	trigonal
space-group type	R-3m (166)

a = 8.435 Å, b = 8.435 Å, c = 8.435 Å
α = 33.41°, β = 33.41°, γ = 33.41°
Positions (direct):
Sc1 0.122 0.122 0.122
Sc2 0.373 0.373 0.373
Sc3 0.627 0.627 0.627
Sc4 0.878 0.878 0.878
In1 0.500 0.500 0.500
Ga1 0.252 0.252 0.252
Ga2 0.748 0.748 0.748
Ag1 0.000 0.000 0.000


Record 4
A plane-wave DFT calculation with PBE was carried out for an optimized crystal structure of Y2ThMg.

Results
offset from the most stable computed form	0.074	eV/atom
calculated formation energy	0.1	eV per formula unit
crystal system	trigonal
space-group type	R3m (160)

a = 3.555 Å, b = 3.555 Å, c = 33.615 Å
α = 90.00°, β = 90.00°, γ = 120.00°
Positions (direct):
Y1 0.000 0.000 0.000
Y2 0.000 0.000 0.166
Y3 0.333 0.667 0.667
Y4 0.333 0.667 0.833
Y5 0.667 0.333 0.333
Y6 0.667 0.333 0.499
Th1 0.000 0.000 0.583
Th2 0.333 0.667 0.250
Th3 0.667 0.333 0.916
Mg1 0.000 0.000 0.416
Mg2 0.333 0.667 0.083
Mg3 0.667 0.333 0.750


Record 5
A plane-wave DFT calculation with PBE was carried out for an optimized crystal structure of La2CrHg.

Results
calculated formation energy	0.4	eV per formula unit
crystal system	tetragonal
space-group type	I-4m2 (119)

a = 4.694 Å, b = 4.694 Å, c = 9.800 Å
α = 90.00°, β = 90.00°, γ = 90.00°
Positions (direct):
La1 0.000 0.000 0.000
La2 0.000 0.500 0.250
La3 0.500 0.000 0.750
La4 0.500 0.500 0.500
Cr1 0.000 0.500 0.750
Cr2 0.500 0.000 0.250
Hg1 0.000 0.000 0.500
Hg2 0.500 0.500 0.000


Record 6
A plane-wave DFT calculation with PBE was carried out for an optimized crystal structure of SiAu5.

Results
crystal system	tetragonal
raw formation energy	101	meV per atom
space-group type	P4/mmm (123)

a = 2.946 Å, b = 2.946 Å, c = 12.204 Å
α = 90.00°, β = 90.00°, γ = 90.00°
Positions (direct):
Si1 0.000 0.000 0.000
Au1 0.000 0.000 0.329
Au2 0.000 0.000 0.671
Au3 0.500 0.500 0.151
Au4 0.500 0.500 0.500
Au5 0.500 0.500 0.849


Record 7
A plane-wave DFT calculation with PBE was carried out for an optimized crystal structure of V3Cr4Re2.

Results
calculated formation energy	-1.5	eV per formula unit
crystal system	trigonal
space-group type	P-3m1 (164)

a = 4.187 Å, b = 4.187 Å, c = 7.652 Å
α = 90.00°, β = 90.00°, γ = 120.00°
Positions (direct):
V1 0.000 0.000 0.000
V2 0.333 0.667 0.559
V3 0.667 0.333 0.441
Cr1 0.000 0.000 0.336
Cr2 0.000 0.000 0.664
Cr3 0.333 0.667 0.889
Cr4 0.667 0.333 0.111
Re1 0.333 0.667 0.221
Re2 0.667 0.333 0.779


Record 8
A plane-wave DFT calculation with PBE was carried out for an optimized crystal structure of AlCrP.

Results
offset from the most stable computed form	0.281	eV/atom
calculated formation energy	-0.3	eV per formula unit
crystal system	hexagonal
space-group type	P-6m2 (187)

a = 3.817 Å, b = 3.817 Å, c = 3.312 Å
α = 90.00°, β = 90.00°, γ = 120.00°
Positions (direct):
Al1 0.000 0.000 0.000
Cr1 0.667 0.333 0.500
P1 0.333 0.667 0.500


Record 9
A plane-wave DFT calculation with PBE was carried out for an optimized crystal structure of Sc4Ag3Pt2.

Results
calculated formation energy	-5.9	eV per formula unit
crystal system	monoclinic
space-group type	C2/m (12)

a = 4.675 Å, b = 4.675 Å, c = 9.081 Å
α = 90.05°, β = 90.05°, γ = 60.03°
Positions (direct):
Sc1 0.000 0.000 0.174
Sc2 0.000 0.000 0.826
Sc3 0.333 0.333 0.384
Sc4 0.667 0.667 0.616
Ag1 0.000 0.000 0.500
Ag2 0.333 0.333 0.015
Ag3 0.667 0.667 0.985
Pt1 0.333 0.333 0.688
Pt2 0.667 0.667 0.312


Record 10
A plane-wave DFT calculation with PBE was carried out for an optimized crystal structure of RbTl3PdPt.

Results
calculated formation energy	-0.7	eV per formula unit
crystal system	monoclinic
space-group type	C2/m (12)

a = 9.627 Å, b = 9.627 Å, c = 8.793 Å
α = 90.64°, β = 90.64°, γ = 26.67°
Positions (direct):
Rb1 0.135 0.135 0.435
Rb2 0.865 0.865 0.565
Tl1 0.016 0.016 0.818
Tl2 0.283 0.283 0.848
Tl3 0.352 0.352 0.221
Tl4 0.648 0.648 0.779
Tl5 0.717 0.717 0.152
Tl6 0.984 0.984 0.182
Pd1 0.435 0.435 0.922
Pd2 0.565 0.565 0.078
Pt1 0.148 0.148 0.002
Pt2 0.852 0.852 0.998


Record 11
A plane-wave DFT calculation with PBE was carried out for an optimized crystal structure of AlCdAs2.

Results
offset from the most stable computed form	0.259	eV/atom
calculated formation energy	0.5	eV per formula unit
crystal system	tetragonal
space-group type	P4/mmm (123)

a = 3.420 Å, b = 3.420 Å, c = 7.693 Å
α = 90.00°, β = 90.00°, γ = 90.00°
Positions (direct):
Al1 0.000 0.000 0.000
Cd1 0.000 0.000 0.500
As1 0.500 0.500 0.166
As2 0.500 0.500 0.834


Record 12
A plane-wave DFT calculation with PBE was carried out for an optimized crystal structure of Tb2Sm5Tm2.

Results
offset from the most stable computed form	0.000	eV/atom
calculated formation energy	0.2	eV per formula unit
crystal system	monoclinic
space-group type	C2/m (12)

a = 8.012 Å, b = 8.012 Å, c = 8.007 Å
α = 107.56°, β = 107.56°, γ = 36.85°
Positions (direct):
Tb1 0.110 0.110 0.166
Tb2 0.890 0.890 0.834
Sm1 0.000 0.000 0.500
Sm2 0.222 0.222 0.835
Sm3 0.334 0.334 0.499
Sm4 0.666 0.666 0.501
Sm5 0.778 0.778 0.165
Tm1 0.445 0.445 0.164
Tm2 0.555 0.555 0.836


Record 13
A plane-wave DFT calculation with PBE was carried out for an optimized crystal structure of UAl2Au4.

Results
calculated formation energy	-2.2	eV per formula unit
crystal system	orthorhombic
space-group type	Pnma (62)

a = 17.662 Å, b = 4.540 Å, c = 6.731 Å
α = 90.00°, β = 90.00°, γ = 90.00°
Positions (direct):
U1 0.136 0.250 0.014
U2 0.364 0.750 0.514
U3 0.636 0.250 0.486
U4 0.864 0.750 0.986
Al1 0.037 0.750 0.237
Al2 0.213 0.250 0.540
Al3 0.287 0.750 0.040
Al4 0.463 0.250 0.737
Al5 0.537 0.750 0.263
Al6 0.713 0.250 0.960
Al7 0.787 0.750 0.460
Al8 0.963 0.250 0.763
Au1 0.039 0.750 0.827
Au2 0.070 0.250 0.493
Au3 0.182 0.750 0.315
Au4 0.200 0.750 0.743
Au5 0.300 0.250 0.243
Au6 0.318 0.250 0.815
Au7 0.430 0.750 0.993
Au8 0.461 0.250 0.327
Au9 0.539 0.750 0.673
Au10 0.570 0.250 0.007
Au11 0.682 0.750 0.185
Au12 0.700 0.750 0.757
Au13 0.800 0.250 0.257
Au14 0.818 0.250 0.685
Au15 0.930 0.750 0.507
Au16 0.961 0.250 0.173


Record 14
A plane-wave DFT calculation with PBE was carried out for an optimized crystal structure of BaBeTc2.

Results
calculated formation energy	5.6	eV per formula unit
crystal system	tetragonal
space-group type	P4/mmm (123)

a = 4.166 Å, b = 4.166 Å, c = 4.358 Å
α = 90.00°, β = 90.00°, γ = 90.00°
Positions (direct):
Ba1 0.000 0.000 0.000
Be1 0.500 0.500 0.000
Tc1 0.000 0.500 0.500
Tc2 0.500 0.000 0.500


Record 15
A plane-wave DFT calculation with PBE was carried out for an optimized crystal structure of LiLa2In.

Results
calculated formation energy	-1.0	eV per formula unit
crystal system	orthorhombic
space-group type	Imm2 (44)

a = 3.816 Å, b = 5.469 Å, c = 11.023 Å
α = 90.00°, β = 90.00°, γ = 90.00°
Positions (direct):
Li1 0.000 0.000 0.000
Li2 0.500 0.500 0.500
La1 0.000 0.000 0.539
La2 0.000 0.500 0.766
La3 0.500 0.000 0.266
La4 0.500 0.500 0.039
In1 0.000 0.500 0.315
In2 0.500 0.000 0.815


Record 16
A plane-wave DFT calculation with PBE was carried out for an optimized crystal structure of SrTi2BiSb.

Results
crystal system	tetragonal
raw formation energy	396	meV per atom
space-group type	P4/mmm (123)

a = 5.214 Å, b = 5.214 Å, c = 6.154 Å
α = 90.00°, β = 90.00°, γ = 90.00°
Positions (direct):
Sr1 0.000 0.000 0.000
Ti1 0.000 0.500 0.500
Ti2 0.500 0.000 0.500
Bi1 0.500 0.500 0.000
Sb1 0.500 0.500 0.500


Record 17
A plane-wave DFT calculation with PBE was carried out for an optimized crystal structure of SbMoOs2.

Results
crystal system	tetragonal
raw formation energy	1089	meV per atom
space-group type	I-42d (122)

a = 5.780 Å, b = 5.780 Å, c = 11.573 Å
α = 90.00°, β = 90.00°, γ = 90.00°
Positions (direct):
Sb1 0.000 0.000 0.000
Sb2 0.000 0.500 0.250
Sb3 0.500 0.000 0.750
Sb4 0.500 0.500 0.500
Mo1 0.000 0.000 0.500
Mo2 0.000 0.500 0.750
Mo3 0.500 0.000 0.250
Mo4 0.500 0.500 0.000
Os1 0.228 0.250 0.625
Os2 0.250 0.728 0.875
Os3 0.250 0.772 0.375
Os4 0.272 0.250 0.125
Os5 0.728 0.750 0.125
Os6 0.750 0.228 0.375
Os7 0.750 0.272 0.875
Os8 0.772 0.750 0.625


Record 18
A plane-wave DFT calculation with PBE was carried out for an optimized crystal structure of ZnAgAu5.

Results
offset from the most stable computed form	0.000	eV/atom
calculated formation energy	-0.3	eV per formula unit
crystal system	tetragonal
space-group type	P4/mmm (123)

a = 4.157 Å, b = 4.157 Å, c = 7.456 Å
α = 90.00°, β = 90.00°, γ = 90.00°
Positions (direct):
Zn1 0.000 0.000 0.000
Ag1 0.500 0.500 0.500
Au1 0.000 0.000 0.500
Au2 0.000 0.500 0.217
Au3 0.000 0.500 0.783
Au4 0.500 0.000 0.217
Au5 0.500 0.000 0.783


Record 19
A plane-wave DFT calculation with PBE was carried out for an optimized crystal structure of VTc2Sb.

Results
crystal system	tetragonal
raw formation energy	-48	meV per atom
space-group type	P4/mmm (123)

a = 4.405 Å, b = 4.405 Å, c = 3.193 Å
α = 90.00°, β = 90.00°, γ = 90.00°
Positions (direct):
V1 0.000 0.000 0.000
Tc1 0.000 0.500 0.500
Tc2 0.500 0.000 0.500
Sb1 0.500 0.500 0.000


Record 20
A plane-wave DFT calculation with PBE was carried out for an optimized crystal structure of Sr2LaInO.

Results
crystal system	tetragonal
raw formation energy	-1324	meV per atom
space-group type	P4/mmm (123)

a = 5.185 Å, b = 5.185 Å, c = 5.160 Å
α = 90.00°, β = 90.00°, γ = 90.00°
Positions (direct):
Sr1 0.000 0.500 0.000
Sr2 0.500 0.000 0.000
La1 0.000 0.000 0.500
In1 0.500 0.500 0.500
O1 0.000 0.000 0.000


Record 21
A plane-wave DFT calculation with PBE was carried out for an optimized crystal structure of Ta5ReTc4.

Results
calculated formation energy	-4.8	eV per formula unit
crystal system	tetragonal
space-group type	P4/mmm (123)

a = 3.190 Å, b = 3.190 Å, c = 15.960 Å
α = 90.00°, β = 90.00°, γ = 90.00°
Positions (direct):
Ta1 0.000 0.000 0.000
Ta2 0.000 0.000 0.200
Ta3 0.000 0.000 0.399
Ta4 0.000 0.000 0.601
Ta5 0.000 0.000 0.800
Re1 0.500 0.500 0.500
Tc1 0.500 0.500 0.100
Tc2 0.500 0.500 0.299
Tc3 0.500 0.500 0.701
Tc4 0.500 0.500 0.900


Record 22
A plane-wave DFT calculation with PBE was carried out for an optimized crystal structure of Sm3CoI3.

Results
crystal system	monoclinic
raw formation energy	-923	meV per atom
space-group type	P2_1/m (11)

a = 9.222 Å, b = 4.184 Å, c = 12.259 Å
α = 90.00°, β = 92.70°, γ = 90.00°
Positions (direct):
Sm1 0.100 0.250 0.393
Sm2 0.111 0.250 0.825
Sm3 0.299 0.750 0.616
Sm4 0.701 0.250 0.384
Sm5 0.889 0.750 0.175
Sm6 0.900 0.750 0.607
Co1 0.104 0.250 0.616
Co2 0.896 0.750 0.384
I1 0.137 0.250 0.116
I2 0.366 0.750 0.874
I3 0.395 0.750 0.365
I4 0.605 0.250 0.635
I5 0.634 0.250 0.126
I6 0.863 0.750 0.884


Record 23
A plane-wave DFT calculation with PBE was carried out for an optimized crystal structure of TmAl3Pd.

Results
offset from the most stable computed form	0.000	eV/atom
calculated formation energy	-3.2	eV per formula unit
crystal system	monoclinic
space-group type	P2_1/m (11)

a = 6.752 Å, b = 4.150 Å, c = 6.876 Å
α = 90.00°, β = 105.32°, γ = 90.00°
Positions (direct):
Tm1 0.192 0.250 0.171
Tm2 0.808 0.750 0.829
Al1 0.074 0.250 0.649
Al2 0.316 0.750 0.899
Al3 0.339 0.750 0.515
Al4 0.661 0.250 0.485
Al5 0.684 0.250 0.101
Al6 0.926 0.750 0.351
Pd1 0.456 0.250 0.741
Pd2 0.544 0.750 0.259


Record 24
A plane-wave DFT calculation with PBE was carried out for an optimized crystal structure of ReSi2Sb.

Results
crystal system	tetragonal
raw formation energy	656	meV per atom
space-group type	I-4m2 (119)

a = 4.556 Å, b = 4.556 Å, c = 6.382 Å
α = 90.00°, β = 90.00°, γ = 90.00°
Positions (direct):
Re1 0.000 0.000 0.000
Re2 0.500 0.500 0.500
Si1 0.000 0.000 0.500
Si2 0.000 0.500 0.750
Si3 0.500 0.000 0.250
Si4 0.500 0.500 0.000
Sb1 0.000 0.500 0.250
Sb2 0.500 0.000 0.750


Number 1: Fermi-level density of states 1.843 states/eV per atom. Number 2: Fermi-level density of states 2.419 states/eV per atom. Number 3: Fermi-level density of states 0.863 states/eV per atom. Number 4: Fermi-level density of states 1.421 states/eV per atom. Number 5: Fermi-level density of states 0.919 states/eV per atom. Number 6: Fermi-level density of states 0.244 states/eV per atom. Number 7: Fermi-level density of states 0.459 states/eV per atom. Number 8: Fermi-level density of states 0.764 states/eV per atom. Number 9: Fermi-level density of states 0.790 states/eV per atom. Number 10: Fermi-level density of states 0.435 states/eV per atom. Number 11: Fermi-level density of states 0.437 states/eV per atom. Number 12: Fermi-level density of states 1.347 states/eV per atom. Number 13: Fermi-level density of states 1.212 states/eV per atom. Number 14: Fermi-level density of states 1.127 states/eV per atom. Number 15: Fermi-level density of states 0.960 states/eV per atom. Number 16: Fermi-level density of states 1.020 states/eV per atom. Number 17: Fermi-level density of states 0.631 states/eV per atom. Number 18: Fermi-level density of states 0.463 states/eV per atom. Number 19: Fermi-level density of states 0.603 states/eV per atom. Number 20: Fermi-level density of states 0.330 states/eV per atom. Number 21: Fermi-level density of states 0.333 states/eV per atom. Number 22: Fermi-level density of states 0.685 states/eV per atom. Number 23: Fermi-level density of states 0.389 states/eV per atom. Number 24: Fermi-level density of states 0.578 states/eV per atom.